Record 1
# CaDy6Ho (GGA-PBE, relaxed)
# * space group: No. 2
# * energy of formation from the pure elements: 228 meV per atom
# * density of states at the Fermi level: 12.329 states/eV per cell
data_CaDy6Ho
_cell_length_a 6.751
_cell_length_b 6.613
_cell_length_c 6.950
_cell_angle_alpha 104.48
_cell_angle_beta 62.76
_cell_angle_gamma 87.80
_symmetry_space_group_name_H-M 'P 1'
_symmetry_Int_Tables_number 1
loop_
_symmetry_equiv_pos_as_xyz
'x,y,z'
loop_
_atom_site_label
_atom_site_type_symbol
_atom_site_fract_x
_atom_site_fract_y
_atom_site_fract_z
_atom_site_occupancy
Ca1 Ca 0.000 0.000 0.000 1
Dy1 Dy 0.097 0.719 0.470 1
Dy2 Dy 0.575 0.760 0.518 1
Dy3 Dy 0.425 0.240 0.482 1
Dy4 Dy 0.903 0.281 0.530 1
Dy5 Dy 0.542 0.746 0.005 1
Dy6 Dy 0.458 0.254 0.995 1
Ho1 Ho 0.000 0.500 0.000 1

=====

Record 2
# Tb11Ir4Pb9 (GGA-PBE, relaxed)
# * space group: No. 65
# * energy of formation from the pure elements: -582 meV per atom
# * density of states at the Fermi level: 14.740 states/eV per cell
data_Tb11Ir4Pb9
_cell_length_a 3.769
_cell_length_b 13.367
_cell_length_c 13.367
_cell_angle_alpha 112.19
_cell_angle_beta 90.00
_cell_angle_gamma 90.00
_symmetry_space_group_name_H-M 'P 1'
_symmetry_Int_Tables_number 1
loop_
_symmetry_equiv_pos_as_xyz
'x,y,z'
loop_
_atom_site_label
_atom_site_type_symbol
_atom_site_fract_x
_atom_site_fract_y
_atom_site_fract_z
_atom_site_occupancy
Tb1 Tb 0.000 0.582 0.915 1
Tb2 Tb 0.000 0.418 0.085 1
Tb3 Tb 0.000 0.915 0.582 1
Tb4 Tb 0.000 0.085 0.418 1
Tb5 Tb 0.000 0.627 0.373 1
Tb6 Tb 0.000 0.373 0.627 1
Tb7 Tb 0.000 0.840 0.160 1
Tb8 Tb 0.000 0.160 0.840 1
Tb9 Tb 0.000 0.000 0.000 1
Tb10 Tb 0.000 0.688 0.688 1
Tb11 Tb 0.000 0.312 0.312 1
Ir1 Ir 0.500 0.550 0.753 1
Ir2 Ir 0.500 0.450 0.247 1
Ir3 Ir 0.500 0.753 0.550 1
Ir4 Ir 0.500 0.247 0.450 1
Pb1 Pb 0.500 0.630 0.148 1
Pb2 Pb 0.500 0.370 0.852 1
Pb3 Pb 0.500 0.148 0.630 1
Pb4 Pb 0.500 0.852 0.370 1
Pb5 Pb 0.500 0.783 0.931 1
Pb6 Pb 0.500 0.217 0.069 1
Pb7 Pb 0.500 0.931 0.783 1
Pb8 Pb 0.500 0.069 0.217 1
Pb9 Pb 0.500 0.500 0.500 1

=====

Record 3
# Be2TcAu (GGA-PBE, relaxed)
# * space group: No. 123
# * energy of formation from the pure elements: -110 meV per atom
# * density of states at the Fermi level: 1.651 states/eV per cell
data_Be2TcAu
_cell_length_a 2.973
_cell_length_b 4.014
_cell_length_c 4.014
_cell_angle_alpha 90.00
_cell_angle_beta 90.00
_cell_angle_gamma 90.00
_symmetry_space_group_name_H-M 'P 1'
_symmetry_Int_Tables_number 1
loop_
_symmetry_equiv_pos_as_xyz
'x,y,z'
loop_
_atom_site_label
_atom_site_type_symbol
_atom_site_fract_x
_atom_site_fract_y
_atom_site_fract_z
_atom_site_occupancy
Be1 Be 0.000 0.000 0.000 1
Be2 Be 0.000 0.500 0.500 1
Au1 Au 0.500 0.000 0.500 1
Tc1 Tc 0.500 0.500 0.000 1